[1]
Here is a relaxed Pr2PuUN5 crystal from Alexandria. Energies are from GGA-PBE.

The value obtained for the uncorrected formation energy is -1128 meV per atom. The electronic total energy is -9.6616 eV per atom. Its total magnetization is 0.555 μB/atom.

The space group is P4/mmm (No. 123) and the conventional cell measures 4.107, 4.107 and 8.929 Å, with angles of 90.00, 90.00 and 90.00 degrees. Symmetry generates all atoms from Pr at (0.000, 0.000, 0.234), Pu at (0.500, 0.500, 0.500), U at (0.500, 0.500, 0.000), N at (0.000, 0.000, 0.500), N at (0.000, 0.500, 0.000) and N at (0.500, 0.500, 0.258).

***

[2]
Here is a relaxed Pr2PuUN4 crystal from Alexandria. Energies are from GGA-PBE.

The value obtained for the uncorrected formation energy is -1352 meV per atom. The electronic total energy is -9.9119 eV per atom. Its total magnetization is 0.638 μB/atom.

The space group is P2/m (No. 10) and the conventional cell measures 6.118, 3.553 and 6.202 Å, with angles of 90.00, 109.29 and 90.00 degrees. Symmetry generates all atoms from Pr at (0.000, 0.000, 0.000), Pr at (0.500, 0.500, 0.000), Pu at (0.000, 0.500, 0.500), U at (0.500, 0.000, 0.500), N at (0.253, 0.000, 0.709) and N at (0.279, 0.500, 0.293).

***

[3]
Here is a relaxed Pr2PuVN5 crystal from Alexandria. Energies are from GGA-PBE.

The value obtained for the uncorrected formation energy is -1177 meV per atom. The electronic total energy is -9.4703 eV per atom. Its total magnetization is 0.441 μB/atom.

The space group is Cmc2_1 (No. 36) and the conventional cell measures 3.477, 14.036 and 10.517 Å, with angles of 90.00, 90.00 and 90.00 degrees. Symmetry generates all atoms from Pr at (0.000, 0.111, 0.000), Pr at (0.000, 0.140, 0.601), Pu at (0.000, 0.206, 0.312), V at (0.000, 0.495, 0.770), N at (0.000, 0.041, 0.336), N at (0.000, 0.285, 0.949), N at (0.000, 0.309, 0.682), N at (0.000, 0.377, 0.312) and N at (0.000, 0.494, 0.102).

***

[4]
Here is a relaxed Pr2PuVN4 crystal from Alexandria. Energies are from GGA-PBE.

The value obtained for the uncorrected formation energy is -1023 meV per atom. The electronic total energy is -9.3115 eV per atom. Its total magnetization is 0.767 μB/atom.

The space group is Cmcm (No. 63) and the conventional cell measures 3.455, 11.948 and 12.401 Å, with angles of 90.00, 90.00 and 90.00 degrees. Symmetry generates all atoms from Pr at (0.000, 0.132, 0.041), Pu at (0.000, 0.402, 0.250), V at (0.000, 0.327, 0.750), N at (0.000, 0.088, 0.250), N at (0.000, 0.227, 0.639) and N at (0.000, 0.500, 0.000).

***

[5]
Here is a relaxed PrPu2VN4 crystal from Alexandria. Energies are from GGA-PBE.

The value obtained for the uncorrected formation energy is -1151 meV per atom. The electronic total energy is -10.6343 eV per atom. Its total magnetization is 1.308 μB/atom.

The space group is Cmcm (No. 63) and the conventional cell measures 3.412, 11.790 and 11.845 Å, with angles of 90.00, 90.00 and 90.00 degrees. Symmetry generates all atoms from Pr at (0.000, 0.091, 0.250), Pu at (0.000, 0.369, 0.043), V at (0.000, 0.170, 0.750), N at (0.000, 0.000, 0.000), N at (0.000, 0.263, 0.625) and N at (0.000, 0.424, 0.250).

***

[6]
Here is a relaxed PrPuWN4 crystal from Alexandria. Energies are from GGA-PBE.

The value obtained for the uncorrected formation energy is -951 meV per atom. The electronic total energy is -10.2894 eV per atom. Its total magnetization is 0.673 μB/atom.

The space group is Cmcm (No. 63) and the conventional cell measures 5.596, 12.504 and 5.588 Å, with angles of 90.00, 90.00 and 90.00 degrees. Symmetry generates all atoms from Pr at (0.000, 0.109, 0.250), Pu at (0.000, 0.399, 0.250), W at (0.000, 0.238, 0.750), N at (0.000, 0.083, 0.750), N at (0.000, 0.428, 0.750) and N at (0.250, 0.250, 0.000).

***

[7]
Here is a relaxed Pr2PuWN5 crystal from Alexandria. Energies are from GGA-PBE.

The value obtained for the uncorrected formation energy is -1052 meV per atom. The electronic total energy is -9.7713 eV per atom. Its total magnetization is 0.523 μB/atom.

The space group is Cmc2_1 (No. 36) and the conventional cell measures 3.523, 13.959 and 10.763 Å, with angles of 90.00, 90.00 and 90.00 degrees. Symmetry generates all atoms from Pr at (0.000, 0.107, 0.000), Pr at (0.000, 0.150, 0.607), Pu at (0.000, 0.210, 0.320), W at (0.000, 0.483, 0.764), N at (0.000, 0.042, 0.343), N at (0.000, 0.280, 0.961), N at (0.000, 0.325, 0.693), N at (0.000, 0.379, 0.312) and N at (0.000, 0.488, 0.094).

***

[8]
Here is a relaxed PrY2PuN4 crystal from Alexandria. Energies are from GGA-PBE.

The value obtained for the uncorrected formation energy is -1448 meV per atom. The electronic total energy is -9.6156 eV per atom. Its total magnetization is 0.592 μB/atom.

The space group is P2/m (No. 10) and the conventional cell measures 6.102, 3.536 and 6.110 Å, with angles of 90.00, 109.35 and 90.00 degrees. Symmetry generates all atoms from Pr at (0.000, 0.000, 0.000), Y at (0.500, 0.000, 0.500), Y at (0.500, 0.500, 0.000), Pu at (0.000, 0.500, 0.500), N at (0.248, 0.000, 0.738) and N at (0.255, 0.500, 0.265).

***

[9]
Here is a relaxed Pr3Y2PuN6 crystal from Alexandria. Energies are from GGA-PBE.

The value obtained for the uncorrected formation energy is -1407 meV per atom. The electronic total energy is -9.0364 eV per atom. Its total magnetization is 0.349 μB/atom.

The space group is C2/m (No. 12) and the conventional cell measures 6.172, 10.674 and 6.219 Å, with angles of 90.00, 109.36 and 90.00 degrees. Symmetry generates all atoms from Pr at (0.000, 0.000, 0.000), Pr at (0.000, 0.333, 0.000), Y at (0.000, 0.166, 0.500), Pu at (0.000, 0.500, 0.500), N at (0.236, 0.340, 0.728) and N at (0.245, 0.500, 0.270).

***

[10]
Here is a relaxed Pr2YPuN4 crystal from Alexandria. Energies are from GGA-PBE.

The value obtained for the uncorrected formation energy is -1372 meV per atom. The electronic total energy is -9.3293 eV per atom. Its total magnetization is 0.566 μB/atom.

The space group is P2/m (No. 10) and the conventional cell measures 6.151, 3.576 and 6.201 Å, with angles of 90.00, 109.13 and 90.00 degrees. Symmetry generates all atoms from Pr at (0.000, 0.000, 0.000), Pr at (0.500, 0.500, 0.000), Y at (0.000, 0.500, 0.500), Pu at (0.500, 0.000, 0.500), N at (0.252, 0.000, 0.729) and N at (0.265, 0.500, 0.276).

***

[11]
Here is a relaxed PrPuZnN3 crystal from Alexandria. Energies are from GGA-PBE.

The value obtained for the uncorrected formation energy is -777 meV per atom. The electronic total energy is -8.3375 eV per atom. Its total magnetization is 0.667 μB/atom.

The space group is P2_1/m (No. 11) and the conventional cell measures 7.285, 3.482 and 7.375 Å, with angles of 90.00, 99.90 and 90.00 degrees. Symmetry generates all atoms from Pr at (0.179, 0.250, 0.207), Pu at (0.348, 0.750, 0.831), Zn at (0.099, 0.250, 0.592), N at (0.136, 0.250, 0.866), N at (0.199, 0.750, 0.493) and N at (0.427, 0.750, 0.134).

***

[12]
Here is a relaxed PrPuZrN3 crystal from Alexandria. Energies are from GGA-PBE.

The value obtained for the uncorrected formation energy is -981 meV per atom. The electronic total energy is -9.7534 eV per atom. Its total magnetization is 0.375 μB/atom.

The space group is P2_1/m (No. 11) and the conventional cell measures 6.973, 3.497 and 8.851 Å, with angles of 90.00, 101.74 and 90.00 degrees. Symmetry generates all atoms from Pr at (0.173, 0.250, 0.145), Pu at (0.063, 0.250, 0.593), Zr at (0.355, 0.750, 0.866), N at (0.115, 0.250, 0.856), N at (0.246, 0.750, 0.615) and N at (0.424, 0.750, 0.122).